1.
# GGA-PBE Er2PuTl3Te6, relaxed
data_Er2PuTl3Te6
_cell_length_a 7.725
_cell_length_b 13.377
_cell_length_c 8.541
_cell_angle_alpha 90.00
_cell_angle_beta 107.54
_cell_angle_gamma 90.00
_symmetry_space_group_name_H-M 'C 1 2/m 1'
_symmetry_Int_Tables_number 12
loop_
_symmetry_equiv_pos_as_xyz
'x,y,z'
'-x,-y,-z'
'-x,y,-z'
'x,-y,z'
'x+1/2,y+1/2,z'
'-x+1/2,-y+1/2,-z'
'-x+1/2,y+1/2,-z'
'x+1/2,-y+1/2,z'
loop_
_atom_site_label
_atom_site_fract_x
_atom_site_fract_y
_atom_site_fract_z
_atom_site_occupancy
Er1 0.000 0.167 0.000 1
Pu1 0.000 0.500 0.000 1
Tl1 0.000 0.000 0.500 1
Tl2 0.000 0.335 0.500 1
Te1 0.231 0.000 0.212 1
Te2 0.241 0.330 0.213 1
# Calculated total energy (eV per formula unit): -60.72
# N(E_F) (states/eV per cell): 28.7


2.
# GGA-PBE In4Bi5Pb, relaxed
data_In4Bi5Pb
_cell_length_a 3.403
_cell_length_b 3.403
_cell_length_c 26.599
_cell_angle_alpha 90.00
_cell_angle_beta 90.00
_cell_angle_gamma 90.00
_symmetry_space_group_name_H-M 'P 4/m m m'
_symmetry_Int_Tables_number 123
_symmetry_space_group_name_Hall '-P 4 2'
loop_
_atom_site_label
_atom_site_fract_x
_atom_site_fract_y
_atom_site_fract_z
_atom_site_occupancy
In1 0.000 0.000 0.099 1
In2 0.000 0.000 0.297 1
Bi1 0.500 0.500 0.000 1
Bi2 0.500 0.500 0.198 1
Bi3 0.500 0.500 0.398 1
Pb1 0.000 0.000 0.500 1
# N(E_F) (states/eV per cell): 5.9
# Formation enthalpy at 0 K (meV per atom): 48


3.
# GGA-PBE MnVCo4, relaxed
data_MnVCo4
_cell_length_a 4.044
_cell_length_b 8.458
_cell_length_c 8.087
_cell_angle_alpha 90.00
_cell_angle_beta 90.00
_cell_angle_gamma 90.00
_symmetry_space_group_name_H-M 'I m m a'
_symmetry_Int_Tables_number 74
_symmetry_space_group_name_Hall '-I 2b 2'
loop_
_atom_site_label
_atom_site_fract_x
_atom_site_fract_y
_atom_site_fract_z
_atom_site_occupancy
Mn1 0.000 0.250 0.126 1
V1 0.000 0.250 0.617 1
Co1 0.000 0.086 0.374 1
Co2 0.000 0.089 0.870 1
# N(E_F) (states/eV per cell): 28.2
# Formation enthalpy at 0 K (meV per atom): 10


4.
# GGA-PBE Y6GaSe4, relaxed
data_Y6GaSe4
_cell_length_a 4.023
_cell_length_b 13.378
_cell_length_c 20.712
_cell_angle_alpha 90.00
_cell_angle_beta 90.00
_cell_angle_gamma 90.00
_symmetry_space_group_name_H-M 'C m c m'
_symmetry_Int_Tables_number 63
_symmetry_space_group_name_Hall '-C 2c 2'
loop_
_atom_site_label
_atom_site_fract_x
_atom_site_fract_y
_atom_site_fract_z
_atom_site_occupancy
Y1 0.000 0.000 0.000 1
Y2 0.000 0.166 0.250 1
Y3 0.000 0.271 0.595 1
Y4 0.000 0.443 0.167 1
Ga1 0.000 0.172 0.750 1
Se1 0.000 0.083 0.125 1
Se2 0.000 0.358 0.038 1
# Calculated total energy (eV per formula unit): -71.40
# N(E_F) (states/eV per cell): 33.9


5.
# GGA-PBE Tm2ThRh3, relaxed
data_Tm2ThRh3
_cell_length_a 4.8896
_cell_length_b 4.8896
_cell_length_c 5.9656
_cell_angle_alpha 90.00
_cell_angle_beta 90.00
_cell_angle_gamma 120.00
_symmetry_space_group_name_H-M 'P -3 m 1'
_symmetry_Int_Tables_number 164
_symmetry_space_group_name_Hall '-P 3 2"'
loop_
_atom_site_label
_atom_site_fract_x
_atom_site_fract_y
_atom_site_fract_z
_atom_site_occupancy
Tm1 0.3333 0.6667 0.1543 1
Th1 0.0000 0.0000 0.5000 1
Rh1 0.0000 0.0000 0.0000 1
Rh2 0.3333 0.6667 0.6594 1
# N(E_F) (states/eV per cell): 2.2
# Formation enthalpy at 0 K (meV per atom): -900


6.
# GGA-PBE CsNiTe2, relaxed
data_CsNiTe2
_cell_length_a 7.891
_cell_length_b 7.891
_cell_length_c 7.891
_cell_angle_alpha 90.00
_cell_angle_beta 90.00
_cell_angle_gamma 90.00
_symmetry_space_group_name_H-M 'F m -3 m'
_symmetry_Int_Tables_number 225
_symmetry_space_group_name_Hall '-F 4 2 3'
loop_
_atom_site_label
_atom_site_fract_x
_atom_site_fract_y
_atom_site_fract_z
_atom_site_occupancy
Cs1 0.000 0.000 0.000 1
Ni1 0.000 0.000 0.500 1
Te1 0.250 0.250 0.250 1
# Calculated total energy (eV per formula unit): -11.00
# N(E_F) (states/eV per cell): 23.3


7.
# GGA-PBE YAl2Se, relaxed
data_YAl2Se
_cell_length_a 6.992
_cell_length_b 6.992
_cell_length_c 6.992
_cell_angle_alpha 90.00
_cell_angle_beta 90.00
_cell_angle_gamma 90.00
_symmetry_space_group_name_H-M 'F -4 3 m'
_symmetry_Int_Tables_number 216
_symmetry_space_group_name_Hall 'F -4 2 3'
loop_
_atom_site_label
_atom_site_fract_x
_atom_site_fract_y
_atom_site_fract_z
_atom_site_occupancy
Y1 0.000 0.000 0.000 1
Al1 0.000 0.000 0.500 1
Al2 0.250 0.250 0.750 1
Se1 0.250 0.250 0.250 1
# Calculated total energy (eV per formula unit): -18.62
# N(E_F) (states/eV per cell): 10.3


8.
# GGA-PBE Tl4Bi, relaxed
data_Tl4Bi
_cell_length_a 5.447
_cell_length_b 3.457
_cell_length_c 8.874
_cell_angle_alpha 90.00
_cell_angle_beta 107.37
_cell_angle_gamma 90.00
_symmetry_space_group_name_H-M 'P 1 2/m 1'
_symmetry_Int_Tables_number 10
loop_
_symmetry_equiv_pos_as_xyz
'x,y,z'
'-x,-y,-z'
'-x,y,-z'
'x,-y,z'
loop_
_atom_site_label
_atom_site_fract_x
_atom_site_fract_y
_atom_site_fract_z
_atom_site_occupancy
Tl1 0.099 0.000 0.198 1
Tl2 0.302 0.500 0.605 1
Bi1 0.500 0.500 0.000 1
# Excess energy over the best structure of this formula in the dataset (eV per atom): 0.0041
# N(E_F) (states/eV per cell): 2.1
# Formation enthalpy at 0 K (meV per atom): 1


These records have mass density values of 7.7, 9.2, 8.2, 5.5, 11.8, 6.0, 4.3, 10.7 Mg/m³, in the order they appear.